{"formula": "YRu", "functional": "PBE", "state": "relaxed", "cell": [[-4.343, 4.343, 2.313], [4.343, -4.343, 2.313], [4.343, 4.343, -2.313]], "species": ["Y", "Y", "Y", "Y", "Ru", "Ru", "Ru", "Ru"], "fractional_positions": [[0.000, 0.276, 0.276], [0.000, 0.724, 0.724], [0.276, 0.000, 0.276], [0.724, 0.000, 0.724], [0.351, 0.351, 0.701], [0.351, 0.649, 0.000], [0.649, 0.351, 0.000], [0.649, 0.649, 0.299]], "energy_ev_per_atom": -7.97, "volume_a3_per_cell": 174.5, "delta_e_f_ev_per_atom": -0.097}